(1)
AsIrPt2 | GGA-PBE | optimized geometry

Cell: 2.804 2.804 9.514 Å, 90.00 90.00 121.07°
Fractional positions:
As (0.000, 0.000, 0.000)
Ir (0.000, 0.000, 0.500)
Pt (0.500, 0.500, 0.254)
Pt (0.500, 0.500, 0.746)

Values from the calculation:
SG: No. 65
formation enthalpy at 0 K: 0.208 eV per atom
crystal system: orthorhombic

(2)
RbLiAl2S4 | GGA-PBE | optimized geometry

Cell: 7.805 7.805 7.805 Å, 139.70 139.70 58.31°
Fractional positions:
Rb (0.000, 0.000, 0.000)
Li (0.500, 0.500, 0.000)
Al (0.250, 0.750, 0.500)
Al (0.750, 0.250, 0.500)
S (0.125, 0.564, 0.000)
S (0.436, 0.436, 0.560)
S (0.564, 0.125, 0.000)
S (0.875, 0.875, 0.440)

Values from the calculation:
SG: No. 121
formation energy without anion corrections: -1.078 eV per atom
crystal system: tetragonal

Copy entry 2 word for word.
RbLiAl2S4 | GGA-PBE | optimized geometry

Cell: 7.805 7.805 7.805 Å, 139.70 139.70 58.31°
Fractional positions:
Rb (0.000, 0.000, 0.000)
Li (0.500, 0.500, 0.000)
Al (0.250, 0.750, 0.500)
Al (0.750, 0.250, 0.500)
S (0.125, 0.564, 0.000)
S (0.436, 0.436, 0.560)
S (0.564, 0.125, 0.000)
S (0.875, 0.875, 0.440)

Values from the calculation:
SG: No. 121
formation energy without anion corrections: -1.078 eV per atom
crystal system: tetragonal